(1)
Here is a relaxed DyHo3Cu4 crystal from the Alexandria database. Energies are from PBE-GGA.

```
DyHo3Cu4
1.0
-2.2749 -2.0608 -1.5601
2.8948 -3.8506 0.8654
-4.5246 -1.4794 8.5521
Ho Cu Dy
3 4 1
direct
0.5000 0.0000 0.2503
0.5000 0.5000 0.5000
0.5000 0.0000 0.7497
0.0000 0.0000 0.5000
0.0000 0.5000 0.7492
0.0000 0.0000 0.0000
0.0000 0.5000 0.2508
0.5000 0.5000 0.0000
```

- E_tot (eV/atom) = -4.602
- spin magnetization (μB/f.u.) = 0.00
- DOS(E_F) (states/eV per cell) = 4.7
- SG = Pmmm
- formation energy from the elements (eV/atom) = -0.26

(2)
Here is a relaxed DyHo2Cu9 crystal from the Alexandria database. Energies are from PBE-GGA.

```
DyHo2Cu9
1.0
-4.3213 0.7337 2.6875
-1.6962 -3.6585 3.1895
2.4141 2.3746 8.1516
Dy Ho Cu
1 2 9
direct
0.0000 0.0000 0.0000
0.8589 0.8589 0.4234
0.1411 0.1411 0.5766
0.6676 0.6676 0.9973
0.3324 0.3324 0.0027
0.5000 0.5000 0.5000
0.4178 0.4178 0.2463
0.9180 0.4178 0.2463
0.4178 0.9180 0.2463
0.5822 0.5822 0.7537
0.5822 0.0820 0.7537
0.0820 0.5822 0.7537
```

- E_tot (eV/atom) = -4.426
- spin magnetization (μB/f.u.) = 0.00
- DOS(E_F) (states/eV per cell) = 8.1
- SG = R-3m
- formation energy from the elements (eV/atom) = -0.21

(3)
Here is a relaxed DyHo5Cu4 crystal from the Alexandria database. Energies are from PBE-GGA.

```
DyHo5Cu4
1.0
3.4546 0.0000 0.0000
0.0000 3.4546 0.0000
0.0000 0.0000 18.9493
Dy Ho Cu
1 5 4
direct
0.0000 0.0000 0.0000
0.5000 0.5000 0.1359
0.5000 0.5000 0.3170
0.5000 0.5000 0.5000
0.5000 0.5000 0.6831
0.5000 0.5000 0.8641
0.0000 0.0000 0.2262
0.0000 0.0000 0.4087
0.0000 0.0000 0.5913
0.0000 0.0000 0.7738
```

- E_tot (eV/atom) = -4.590
- spin magnetization (μB/f.u.) = 0.00
- DOS(E_F) (states/eV per cell) = 7.4
- SG = P4/mmm
- formation energy from the elements (eV/atom) = -0.20

(4)
Here is a relaxed Dy3Ho2Cu2 crystal from the Alexandria database. Energies are from PBE-GGA.

```
Dy3Ho2Cu2
1.0
3.6143 0.0000 0.0000
-1.8072 6.1849 -0.4491
0.0000 -3.4234 8.2900
Dy Ho Cu
3 2 2
direct
0.5000 0.0000 0.0000
0.6138 0.2275 0.4430
0.3862 0.7725 0.5570
0.8447 0.6894 0.1866
0.1553 0.3106 0.8134
0.8289 0.6578 0.7721
0.1711 0.3422 0.2279
```

- E_tot (eV/atom) = -4.571
- spin magnetization (μB/f.u.) = 0.00
- DOS(E_F) (states/eV per cell) = 8.2
- SG = C2/m
- formation energy from the elements (eV/atom) = -0.12